[1]
The following is a PBE calculation of an optimized crystal structure of PbW2Br, from the Alexandria database.

Results
SG ... No. 12
Uncorrected energy ... -26.0 eV/f.u.
Fermi-level density of states ... 4.55 states/eV per cell
V ... 81.8 Å³/cell
Formation energy (no corrections) ... 128 kJ/mol of atoms

Structure (POSCAR):
```
PbW2Br
1.0
5.953 0.014 -0.003
-3.290 4.962 -0.003
0.906 1.692 2.763
Pb Br W
1 1 2
direct
0.000 0.500 0.500 Pb
0.500 0.000 0.500 Br
0.000 0.000 0.000 W
0.500 0.500 0.000 W
```

[2]
The following is a PBE calculation of an optimized crystal structure of TaAuBr, from the Alexandria database.

Results
SG ... No. 156
Uncorrected energy ... -16.8 eV/f.u.
Fermi-level density of states ... 1.92 states/eV per cell
V ... 64.5 Å³/cell
Formation energy (no corrections) ... 1 kJ/mol of atoms

Structure (POSCAR):
```
TaAuBr
1.0
-0.089 -0.568 3.124
2.673 -0.522 -1.633
2.163 6.935 1.323
Au Br Ta
1 1 1
direct
0.000 0.000 0.948 Au
0.667 0.333 0.395 Br
0.333 0.667 0.657 Ta
```

[3]
The following is a PBE calculation of an optimized crystal structure of RbPRhO2, from the Alexandria database.

Results
SG ... No. 123
Uncorrected energy ... -15.8 eV/f.u.
Fermi-level density of states ... 5.30 states/eV per cell
V ... 111.2 Å³/cell
Formation energy (no corrections) ... 152 kJ/mol of atoms

Structure (POSCAR):
```
RbPRhO2
1.0
-2.666 -2.098 -1.963
2.471 -3.041 -0.106
-2.707 -2.419 6.262
P Rh O Rb
1 1 2 1
direct
0.000 0.000 0.500 P
0.500 0.500 0.500 Rh
0.000 0.500 0.000 O
0.500 0.000 0.000 O
0.000 0.000 0.000 Rb
```

Table of relative energy among the computed polymorphs (kJ/mol of formula units), in record order: 376; 0; 791